(1)
This record from Alexandria describes crystalline ScTaRe2 at its relaxed geometry. The functional is GGA-PBE.

ΔH_f (0 K), eV per atom: 0.17

Cell lengths 9.6006, 9.6006, 9.6006 Å; angles 17.35, 17.35, 17.35 degrees
Positions (direct):
1 Sc 0.0000 0.0000 0.0000
2 Ta 0.2414 0.2414 0.2414
3 Re 0.4908 0.4908 0.4908
4 Re 0.7506 0.7506 0.7506

---

(2)
This record from Alexandria describes crystalline Sc2TaRe2 at its relaxed geometry. The functional is GGA-PBE.

Energy relative to the lowest polymorph listed for this composition, kJ per mole of atoms: 52.7
ΔH_f (0 K), eV per atom: 0.60

Cell lengths 9.0772, 9.0772, 9.0772 Å; angles 157.95, 157.95, 31.38 degrees
Positions (direct):
1 Sc 0.1101 0.1101 0.0000
2 Sc 0.8899 0.8899 0.0000
3 Ta 0.5000 0.5000 0.0000
4 Re 0.2500 0.7500 0.5000
5 Re 0.7500 0.2500 0.5000

---

(3)
This record from Alexandria describes crystalline ScTaRe2 at its relaxed geometry. The functional is GGA-PBE.

ΔH_f (0 K), eV per atom: 0.11

Cell lengths 2.8138, 2.8138, 9.1722 Å; angles 90.00, 90.00, 110.02 degrees
Positions (direct):
1 Sc 0.0000 0.0000 0.0000
2 Ta 0.5000 0.5000 0.7160
3 Re 0.0000 0.0000 0.4779
4 Re 0.5000 0.5000 0.2489

---

(4)
This record from Alexandria describes crystalline ScTaRe2 at its relaxed geometry. The functional is GGA-PBE.

ΔH_f (0 K), eV per atom: -0.06

Cell lengths 4.5307, 4.5307, 4.5307 Å; angles 60.00, 60.00, 60.00 degrees
Positions (direct):
1 Sc 0.0000 0.0000 0.0000
2 Ta 0.2500 0.2500 0.2500
3 Re 0.5000 0.5000 0.5000
4 Re 0.7500 0.7500 0.7500

---

(5)
This record from Alexandria describes crystalline ScTaRe2 at its relaxed geometry. The functional is GGA-PBE.

ΔH_f (0 K), eV per atom: -0.20

Cell lengths 5.4349, 5.4349, 5.4349 Å; angles 146.00, 131.00, 60.99 degrees
Positions (direct):
1 Sc 0.0000 0.0000 0.0000
2 Ta 0.2664 0.7664 0.5000
3 Re 0.5104 0.5104 0.0000
4 Re 0.7414 0.2414 0.5000

---

(6)
This record from Alexandria describes crystalline ScTa2Re2 at its relaxed geometry. The functional is GGA-PBE.

ΔH_f (0 K), eV per atom: 0.07

Cell lengths 7.7144, 7.7144, 3.0767 Å; angles 90.00, 90.00, 90.00 degrees
Positions (direct):
1 Sc 0.0000 0.0000 0.0000
2 Sc 0.5000 0.5000 0.0000
3 Ta 0.1480 0.3520 0.5000
4 Ta 0.3520 0.8520 0.5000
5 Ta 0.6480 0.1480 0.5000
6 Ta 0.8520 0.6480 0.5000
7 Re 0.1481 0.6481 0.0000
8 Re 0.3519 0.1481 0.0000
9 Re 0.6481 0.8519 0.0000
10 Re 0.8519 0.3519 0.0000

---

(7)
This record from Alexandria describes crystalline ScTaRe2 at its relaxed geometry. The functional is GGA-PBE.

ΔH_f (0 K), eV per atom: -0.01

Cell lengths 3.1788, 4.4553, 4.6812 Å; angles 90.00, 90.00, 90.00 degrees
Positions (direct):
1 Sc 0.0000 0.0000 0.0000
2 Ta 0.5000 0.0000 0.5000
3 Re 0.0000 0.5000 0.5000
4 Re 0.5000 0.5000 0.0000

---

(8)
This record from Alexandria describes crystalline ScTaRe2 at its relaxed geometry. The functional is GGA-PBE.

ΔH_f (0 K), eV per atom: 0.15

Cell lengths 2.7318, 4.6265, 5.3766 Å; angles 90.00, 90.00, 90.00 degrees
Positions (direct):
1 Sc 0.0000 0.0000 0.0000
2 Ta 0.5000 0.5000 0.2725
3 Re 0.0000 0.0000 0.5031
4 Re 0.5000 0.5000 0.7727

---

What did the third record say?
This record from Alexandria describes crystalline ScTaRe2 at its relaxed geometry. The functional is GGA-PBE.

ΔH_f (0 K), eV per atom: 0.11

Cell lengths 2.8138, 2.8138, 9.1722 Å; angles 90.00, 90.00, 110.02 degrees
Positions (direct):
1 Sc 0.0000 0.0000 0.0000
2 Ta 0.5000 0.5000 0.7160
3 Re 0.0000 0.0000 0.4779
4 Re 0.5000 0.5000 0.2489

---

Which formula does entry 6 have? ScTa2Re2

---

Look up the ΔH_f (0 K) of the sixth one. 0.07 eV per atom

---

Which of these has the highest ΔH_f (0 K)? Sc2TaRe2